Density functional theory data (PBE-GGA) for an optimized crystal structure of LaSmHg3. Values from VASP.

Output
- total energy (eV per atom) = -2.569
- calculated formation energy (meV per atom) = -459

```
&SYSTEM
  ibrav = 0, nat = 10, ntyp = 3
/
ATOMIC_SPECIES
La 138.91 La.upf
Sm 150.36 Sm.upf
Hg 200.59 Hg.upf
CELL_PARAMETERS angstrom
1.816 -14.919 0.000
1.816 14.919 0.000
0.000 0.000 5.050
ATOMIC_POSITIONS crystal
La 0.075 0.925 0.750
La 0.925 0.075 0.250
Sm 0.210 0.790 0.250
Sm 0.790 0.210 0.750
Hg 0.319 0.681 0.250
Hg 0.378 0.622 0.750
Hg 0.476 0.524 0.750
Hg 0.524 0.476 0.250
Hg 0.622 0.378 0.250
Hg 0.681 0.319 0.750
```